No. 1
The following is a PBEsol calculation of TaCo6Sb after structural relaxation, from the Alexandria database.

Unit cell a=6.2568 b=6.2568 c=10.2225 alpha=90.00 beta=90.00 gamma=109.54
Fractional coordinates of all 32 atoms:
Co1 0.0000 0.0000 0.0000
Co2 0.0000 0.0000 0.5000
Co3 0.1290 0.3757 0.6269
Co4 0.1257 0.3778 0.8769
Co5 0.3757 0.1290 0.3731
Co6 0.6243 0.8710 0.6269
Co7 0.1290 0.3757 0.3731
Co8 0.2527 0.7473 0.7530
Co9 0.7473 0.2527 0.7530
Co10 0.5000 0.5000 0.0000
Co11 0.1257 0.3778 0.1231
Co12 0.8743 0.6222 0.1231
Co13 0.5000 0.5000 0.5000
Co14 0.8710 0.6243 0.6269
Co15 0.8743 0.6222 0.8769
Co16 0.3757 0.1290 0.6269
Co17 0.6222 0.8743 0.1231
Co18 0.7473 0.2527 0.2470
Co19 0.8710 0.6243 0.3731
Co20 0.3778 0.1257 0.8769
Co21 0.6222 0.8743 0.8769
Co22 0.3778 0.1257 0.1231
Co23 0.6243 0.8710 0.3731
Co24 0.2527 0.7473 0.2470
Ta1 0.7464 0.2536 0.0000
Ta2 0.2536 0.7464 0.0000
Ta3 0.5000 0.5000 0.2479
Ta4 0.5000 0.5000 0.7521
Sb1 0.7484 0.2516 0.5000
Sb2 0.0000 0.0000 0.7517
Sb3 0.2516 0.7484 0.5000
Sb4 0.0000 0.0000 0.2483

Computed properties:
Total moment, μB per formula unit: 0.00
Raw formation energy, meV per atom: -114

No. 2
The following is a PBEsol calculation of Be2TeCl after structural relaxation, from the Alexandria database.

Unit cell a=3.8107 b=3.8107 c=6.9605 alpha=74.11 beta=74.11 gamma=60.00
Fractional coordinates of all 4 atoms:
Be1 0.6010 0.6010 0.1970
Be2 0.3990 0.3990 0.8030
Te1 0.0000 0.0000 0.0000
Cl1 0.5000 0.5000 0.5000

Computed properties:
Total moment, μB per formula unit: 0.00
Raw formation energy, meV per atom: -59
Polymorph energy (0 for the lowest one), eV per atom: 0.000

No. 3
The following is a PBEsol calculation of Sr3Fe2MoO9 after structural relaxation, from the Alexandria database.

Unit cell a=5.4717 b=7.8046 c=9.5022 alpha=114.25 beta=106.70 gamma=90.00
Last column: magnetic moment on the atom in μB.
Fractional coordinates of all 30 atoms:
Sr1 0.5000 0.2351 0.0000  0.00
Sr2 0.8380 0.0808 0.6782  0.00
Sr3 0.5000 0.7649 0.0000  0.00
Sr4 0.8380 0.5975 0.6782  0.00
Sr5 0.1620 0.4025 0.3218  0.00
Sr6 0.1620 0.9192 0.3218  0.00
Fe1 0.0000 0.5000 0.0000  3.48
Fe2 0.6656 0.1637 0.3274  3.54
Fe3 0.3344 0.8363 0.6726  3.54
Fe4 0.0000 0.0000 0.0000  2.61
O1 0.4689 0.7403 0.4805  0.07
O2 0.8218 0.0778 0.1556  0.17
O3 0.6767 0.9135 0.8270  0.15
O4 0.0000 0.7502 0.0000  0.14
O5 0.0217 0.2429 0.4859  0.08
O6 0.6674 0.9126 0.3350  0.08
O7 0.6674 0.4224 0.3350  0.08
O8 0.3326 0.5776 0.6650  0.08
O9 0.3634 0.5751 0.1502  0.08
O10 0.6366 0.4249 0.8498  0.08
O11 0.0000 0.2498 0.0000  0.14
O12 0.8732 0.5954 0.1908  0.08
O13 0.3326 0.0874 0.6650  0.08
O14 0.3233 0.0865 0.1730  0.15
O15 0.1268 0.4046 0.8092  0.08
O16 0.5311 0.2597 0.5195  0.07
O17 0.1782 0.9222 0.8444  0.17
O18 0.9783 0.7571 0.5141  0.08
Mo1 0.3324 0.3332 0.6663  -0.05
Mo2 0.6676 0.6668 0.3337  -0.05

Computed properties:
Total moment, μB per formula unit: 7.69
Raw formation energy, meV per atom: -2269